(1)
TaReSb2I: optimized geometry, GGA-PBE.

Cell: 5.069 5.069 5.624 Å, 90.00 90.00 90.00°
Space group P4/mmm (No. 123)
Asymmetric unit:
Ta1 0.000 0.000 0.000 (multiplicity 1)
Re1 0.500 0.500 0.500 (multiplicity 1)
Sb1 0.000 0.500 0.500 (multiplicity 2)
I1 0.500 0.500 0.000 (multiplicity 1)

Values from the calculation:
E_form (uncorrected) = 1.514 eV/atom
calculated total energy = -5.305 eV/atom
volume = 144.5 Å³/cell
energy above the most stable polymorph in this dataset = 0.0 kJ/mol of atoms

(2)
PuTeCl: optimized geometry, GGA-PBE.

Cell: 6.141 4.258 9.897 Å, 90.00 107.64 90.00°
Space group P2_1/m (No. 11)
Asymmetric unit:
Pu1 0.182 0.250 0.360 (multiplicity 2)
Te1 0.301 0.750 0.604 (multiplicity 2)
Cl1 0.094 0.750 0.180 (multiplicity 2)

Values from the calculation:
E_form (uncorrected) = -1.402 eV/atom
calculated total energy = -7.842 eV/atom
volume = 246.6 Å³/cell